1.
Below is a geometry-optimized Be2MoW structure, with properties calculated at the GGA-PBE level.

Summary:
For the formation energy from the elements, the calculation gives 0.153 eV per atom. The calculation puts the density of states at the Fermi level at 1.868 states/eV per cell. The space group is I4/mmm, No. 139. As for the energy above the most stable polymorph in this dataset: 387.8 meV/atom.

Cell: 4.3693 4.3693 4.3693 Å, 128.69 128.69 75.51°
Closest atoms and distances in Å follow each position.
Fractional positions:
Be (0.0000, 0.0000, 0.0000)  4 W 2.56, 4 Mo 2.56, 4 Be 2.68
Be (0.5000, 0.5000, 0.0000)  4 W 2.56, 4 Mo 2.56, 4 Be 2.68
Mo (0.2500, 0.7500, 0.5000)  8 Be 2.56, 4 W 2.68
W (0.7500, 0.2500, 0.5000)  8 Be 2.56, 4 Mo 2.68

---

2.
Below is a geometry-optimized BeMo3W structure, with properties calculated at the GGA-PBE level.

Summary:
For the formation energy from the elements, the calculation gives 2.092 eV per atom. The calculation puts the density of states at the Fermi level at 7.034 states/eV per cell. The space group is Pm-3m, No. 221. As for the energy above the most stable polymorph in this dataset: 1321.7 meV/atom.

Cell: 4.7332 4.7332 4.7332 Å, 90.00 90.00 90.00°
Closest atoms and distances in Å follow each position.
Fractional positions:
Be (0.5000, 0.5000, 0.5000)  12 Mo 3.35
Mo (0.0000, 0.5000, 0.0000)  2 W 2.37
Mo (0.0000, 0.0000, 0.5000)  2 W 2.37
Mo (0.5000, 0.0000, 0.0000)  2 W 2.37
W (0.0000, 0.0000, 0.0000)  6 Mo 2.37

---

3.
Below is a geometry-optimized BeMoW2 structure, with properties calculated at the GGA-PBE level.

Summary:
For the formation energy from the elements, the calculation gives 0.212 eV per atom. The calculation puts the density of states at the Fermi level at 1.889 states/eV per cell. The space group is Imm2, No. 44.

Cell: 5.0501 5.0501 5.0501 Å, 143.23 129.45 64.13°
Closest atoms and distances in Å follow each position.
Fractional positions:
Be (0.5001, 0.5001, 0.0000)  6 W 2.68, 2 Mo 2.69
Mo (0.2467, 0.7467, 0.5000)  6 W 2.64-2.68, 2 Be 2.69
W (0.0005, 0.0005, 0.0000)  2 Mo 2.64, 2 W 2.65, 4 Be 2.68
W (0.7525, 0.2525, 0.5000)  2 W 2.65, 4 Mo 2.68, 2 Be 2.68

---

4.
Below is a geometry-optimized BeMoW structure, with properties calculated at the GGA-PBE level.

Summary:
For the formation energy from the elements, the calculation gives 0.240 eV per atom. The calculation puts the density of states at the Fermi level at 1.256 states/eV per cell. The space group is Imm2, No. 44. As for the energy above the most stable polymorph in this dataset: 346.8 meV/atom.

Cell: 4.6774 4.6774 4.6774 Å, 147.37 128.10 62.66°
Closest atoms and distances in Å follow each position.
Fractional positions:
Be (0.0010, 0.0010, 0.0000)  2 Be 2.63, 5 Mo 2.68-2.76, 5 W 2.71-2.75
Mo (0.3370, 0.3370, 0.0000)  5 W 2.60-2.81, 2 Mo 2.63, 5 Be 2.68-2.76
W (0.6620, 0.6620, 0.0000)  5 Mo 2.60-2.81, 2 W 2.63, 5 Be 2.71-2.75

---

5.
Below is a geometry-optimized BeMoW2 structure, with properties calculated at the GGA-PBE level.

Summary:
For the formation energy from the elements, the calculation gives 0.087 eV per atom. The calculation puts the density of states at the Fermi level at 1.742 states/eV per cell. The space group is Cmm2, No. 35.

Cell: 2.7266 2.7266 8.0393 Å, 90.00 90.00 106.35°
Closest atoms and distances in Å follow each position.
Fractional positions:
Be (0.0000, 0.0000, 0.5006)  2 Mo 2.41, 2 W 2.42
Mo (0.5000, 0.5000, 0.7212)  2 Be 2.41
W (0.0000, 0.0000, 0.9993)  6 W 2.73-2.78, 2 Mo 2.77
W (0.5000, 0.5000, 0.2789)  2 Be 2.42

---

6.
Below is a geometry-optimized Be2MoW structure, with properties calculated at the GGA-PBE level.

Summary:
For the formation energy from the elements, the calculation gives 0.126 eV per atom. The calculation puts the density of states at the Fermi level at 1.347 states/eV per cell. The space group is P4mm, No. 99. As for the energy above the most stable polymorph in this dataset: 360.8 meV/atom.

Cell: 2.6749 2.6749 6.8590 Å, 90.00 90.00 90.00°
Closest atoms and distances in Å follow each position.
Fractional positions:
Be (0.0000, 0.0000, 0.0453)  4 Be 2.19
Be (0.5000, 0.5000, 0.2052)  4 Be 2.19
Mo (0.0000, 0.0000, 0.4544)  5 Be 2.55-2.81, 4 Mo 2.67
W (0.5000, 0.5000, 0.7950)  5 Be 2.55-2.81, 4 W 2.67

---

7.
Below is a geometry-optimized Be2MoW structure, with properties calculated at the GGA-PBE level.

Summary:
For the formation energy from the elements, the calculation gives 0.288 eV per atom. The calculation puts the density of states at the Fermi level at 1.850 states/eV per cell. The space group is P4mm, No. 99. As for the energy above the most stable polymorph in this dataset: 522.4 meV/atom.

Cell: 3.1785 3.1785 5.1442 Å, 90.00 90.00 90.00°
Closest atoms and distances in Å follow each position.
Fractional positions:
Be (0.0000, 0.0000, 0.9906)  4 W 2.54, 2 Mo 2.57-2.58, 4 Be 2.64
Be (0.5000, 0.5000, 0.2596)  4 Mo 2.54, 2 W 2.57-2.58, 4 Be 2.64
Mo (0.0000, 0.0000, 0.4912)  6 Be 2.54-2.58, 4 W 2.64
W (0.5000, 0.5000, 0.7586)  6 Be 2.54-2.58, 4 Mo 2.64

---

8.
Below is a geometry-optimized Be2MoW structure, with properties calculated at the GGA-PBE level.

Summary:
For the formation energy from the elements, the calculation gives 0.125 eV per atom. The calculation puts the density of states at the Fermi level at 2.005 states/eV per cell. The space group is C2/m, No. 12. As for the energy above the most stable polymorph in this dataset: 359.6 meV/atom.

Cell: 5.6242 4.3938 2.6755 Å, 84.65 70.72 122.65°
Closest atoms and distances in Å follow each position.
Fractional positions:
Be (0.0000, 0.0000, 0.0000)  4 Mo 2.46-2.68, 4 W 2.46-2.68, 4 Be 2.68-2.69
Be (0.5000, 0.0000, 0.5000)  4 W 2.46-2.68, 4 Mo 2.46-2.68, 4 Be 2.68-2.69
Mo (0.0000, 0.5000, 0.5000)  8 Be 2.46-2.68, 2 Mo 2.68, 2 W 2.69
W (0.5000, 0.5000, 0.0000)  8 Be 2.46-2.68, 2 W 2.68, 2 Mo 2.69

---

9.
Below is a geometry-optimized Be2MoW2 structure, with properties calculated at the GGA-PBE level.

Summary:
For the formation energy from the elements, the calculation gives 0.278 eV per atom. The calculation puts the density of states at the Fermi level at 2.145 states/eV per cell. The space group is I4/mmm, No. 139. As for the energy above the most stable polymorph in this dataset: 455.8 meV/atom.

Cell: 3.6153 3.6153 5.7685 Å, 71.74 71.74 90.00°
Closest atoms and distances in Å follow each position.
Fractional positions:
Be (0.4088, 0.4088, 0.1824)  1 Be 1.89
Be (0.5912, 0.5912, 0.8176)  1 Be 1.89
Mo (0.0000, 0.0000, 0.0000)  8 Be 2.72
W (0.7500, 0.2500, 0.5000)  4 Be 2.44, 4 W 2.56
W (0.2500, 0.7500, 0.5000)  4 Be 2.44, 4 W 2.56

---

10.
Below is a geometry-optimized Be2MoW structure, with properties calculated at the GGA-PBE level.

Summary:
For the formation energy from the elements, the calculation gives 0.095 eV per atom. The calculation puts the density of states at the Fermi level at 1.394 states/eV per cell. The space group is Cmm2, No. 35. As for the energy above the most stable polymorph in this dataset: 329.5 meV/atom.

Cell: 2.6998 2.6998 6.8562 Å, 90.00 90.00 100.84°
Closest atoms and distances in Å follow each position.
Fractional positions:
Be (0.0000, 0.0000, 0.0414)  2 Be 2.07
Be (0.5000, 0.5000, 0.2090)  2 Be 2.07
Mo (0.0000, 0.0000, 0.4577)  4 Be 2.42-2.69, 4 Mo 2.70
W (0.5000, 0.5000, 0.7919)  4 Be 2.43-2.69, 4 W 2.70

---

11.
Below is a geometry-optimized BeMoW2 structure, with properties calculated at the GGA-PBE level.

Summary:
For the formation energy from the elements, the calculation gives 0.800 eV per atom. The calculation puts the density of states at the Fermi level at 5.217 states/eV per cell. The space group is I-42d, No. 122.

Cell: 7.2508 7.2508 5.6283 Å, 49.90 49.90 90.00°
Closest atoms and distances in Å follow each position.
Fractional positions:
Be (0.5000, 0.5000, 0.0000)  4 W 2.26, 2 Mo 2.32
Be (0.2500, 0.7500, 0.5000)  4 W 2.26, 2 Mo 2.32
Mo (0.0000, 0.0000, 0.0000)  2 Be 2.32
Mo (0.7500, 0.2500, 0.5000)  2 Be 2.32
W (0.5428, 0.1250, 0.2500)  2 Be 2.26
W (0.2072, 0.6250, 0.2500)  2 Be 2.26
W (0.3750, 0.4572, 0.7500)  2 Be 2.26
W (0.8750, 0.7928, 0.7500)  2 Be 2.26

---

12.
Below is a geometry-optimized Be2MoW structure, with properties calculated at the GGA-PBE level.

Summary:
For the formation energy from the elements, the calculation gives -0.213 eV per atom. The calculation puts the density of states at the Fermi level at 1.530 states/eV per cell. The space group is Pmc2_1, No. 26. As for the energy above the most stable polymorph in this dataset: 21.3 meV/atom.

Cell: 3.2648 4.6954 6.0789 Å, 90.00 90.00 90.00°
Closest atoms and distances in Å follow each position.
Fractional positions:
Be (0.0000, 0.6291, 0.5385)  2 Be 2.05
Be (0.0000, 0.3709, 0.0385)  2 Be 2.05
Be (0.5000, 0.8716, 0.4612)  2 Be 2.05
Be (0.5000, 0.1284, 0.9612)  2 Be 2.05
Mo (0.0000, 0.1299, 0.6699)  7 Be 2.40-2.51
Mo (0.0000, 0.8701, 0.1699)  7 Be 2.40-2.51
W (0.5000, 0.3698, 0.3304)  7 Be 2.40-2.51
W (0.5000, 0.6302, 0.8304)  7 Be 2.40-2.51

---

13.
Below is a geometry-optimized Be17MoW structure, with properties calculated at the GGA-PBE level.

Summary:
For the formation energy from the elements, the calculation gives -0.137 eV per atom. The calculation puts the density of states at the Fermi level at 5.568 states/eV per cell. The space group is R3m, No. 160.

Cell: 5.4892 5.4892 5.4892 Å, 83.27 83.27 83.27°
Closest atoms and distances in Å follow each position.
Fractional positions:
Be (0.2999, 0.9997, 0.7007)  8 Be 2.08-2.21
Be (0.7007, 0.2999, 0.9997)  8 Be 2.08-2.21
Be (0.9997, 0.7007, 0.2999)  8 Be 2.08-2.21
Be (0.2999, 0.7007, 0.9997)  8 Be 2.08-2.21
Be (0.9997, 0.2999, 0.7007)  8 Be 2.08-2.21
Be (0.7007, 0.9997, 0.2999)  8 Be 2.08-2.21
Be (0.3499, 0.8383, 0.3499)  9 Be 2.08-2.31
Be (0.3499, 0.3499, 0.8383)  9 Be 2.08-2.31
Be (0.8383, 0.3499, 0.3499)  9 Be 2.08-2.31
Be (0.6503, 0.1596, 0.6503)  9 Be 2.08-2.30
Be (0.6503, 0.6503, 0.1596)  9 Be 2.08-2.30
Be (0.1596, 0.6503, 0.6503)  9 Be 2.08-2.30
Be (0.0014, 0.4989, 0.0014)  10 Be 2.08-2.23
Be (0.0014, 0.0014, 0.4989)  10 Be 2.08-2.23
Be (0.4989, 0.0014, 0.0014)  10 Be 2.08-2.23
Be (0.8998, 0.8998, 0.8998)  7 Be 2.12-2.30
Be (0.1001, 0.1001, 0.1001)  7 Be 2.12-2.31
Mo (0.6597, 0.6597, 0.6597)  19 Be 2.54-2.80
W (0.3401, 0.3401, 0.3401)  19 Be 2.54-2.78

---

14.
Below is a geometry-optimized Y2BeMo structure, with properties calculated at the GGA-PBE level.

Summary:
For the formation energy from the elements, the calculation gives 0.605 eV per atom. The calculation puts the density of states at the Fermi level at 3.791 states/eV per cell. The space group is R-3m, No. 166.

Cell: 9.0637 9.0637 9.0637 Å, 21.65 21.65 21.65°
Closest atoms and distances in Å follow each position.
Fractional positions:
Y (0.9972, 0.9972, 0.9972)  3 Be 2.90, 3 Mo 3.02
Y (0.5028, 0.5028, 0.5028)  3 Be 2.90, 3 Mo 3.02
Be (0.2500, 0.2500, 0.2500)  6 Y 2.90
Mo (0.7500, 0.7500, 0.7500)  6 Y 3.02

---

15.
Below is a geometry-optimized Y2BeMo structure, with properties calculated at the GGA-PBE level.

Summary:
For the formation energy from the elements, the calculation gives 0.575 eV per atom. The calculation puts the density of states at the Fermi level at 3.385 states/eV per cell. The space group is F-43m, No. 216.

Cell: 4.8391 4.8391 4.8391 Å, 60.00 60.00 60.00°
Closest atoms and distances in Å follow each position.
Fractional positions:
Y (0.0000, 0.0000, 0.0000)  4 Y 2.96, 4 Mo 2.96
Y (0.2500, 0.2500, 0.2500)  4 Be 2.96, 4 Y 2.96
Be (0.5000, 0.5000, 0.5000)  4 Mo 2.96, 4 Y 2.96
Mo (0.7500, 0.7500, 0.7500)  4 Be 2.96, 4 Y 2.96

---

16.
Below is a geometry-optimized Y2BeMo structure, with properties calculated at the GGA-PBE level.

Summary:
For the formation energy from the elements, the calculation gives 0.228 eV per atom. The calculation puts the density of states at the Fermi level at 3.278 states/eV per cell. The space group is R3m, No. 160.

Cell: 7.0086 7.0086 7.0086 Å, 33.81 33.81 33.81°
Closest atoms and distances in Å follow each position.
Fractional positions:
Y (0.0342, 0.0342, 0.0342)  3 Be 2.94, 3 Mo 2.97
Y (0.2163, 0.2163, 0.2163)  3 Mo 2.96, 3 Be 2.98
Be (0.4570, 0.4570, 0.4570)  3 Mo 2.35
Mo (0.7925, 0.7925, 0.7925)  3 Be 2.35

---

17.
Below is a geometry-optimized Y3BeMo structure, with properties calculated at the GGA-PBE level.

Summary:
For the formation energy from the elements, the calculation gives 0.806 eV per atom. The calculation puts the density of states at the Fermi level at 8.898 states/eV per cell. The space group is Pm-3m, No. 221. As for the energy above the most stable polymorph in this dataset: 0.0 meV/atom.

Cell: 5.1325 5.1325 5.1325 Å, 90.00 90.00 90.00°
Closest atoms and distances in Å follow each position.
Fractional positions:
Y (0.0000, 0.5000, 0.0000)  2 Be 2.57
Y (0.0000, 0.0000, 0.5000)  2 Be 2.57
Y (0.5000, 0.0000, 0.0000)  2 Be 2.57
Be (0.0000, 0.0000, 0.0000)  6 Y 2.57
Mo (0.5000, 0.5000, 0.5000)  12 Y 3.63

---

18.
Below is a geometry-optimized YBe2Mo2 structure, with properties calculated at the GGA-PBE level.

Summary:
For the formation energy from the elements, the calculation gives -0.005 eV per atom. The calculation puts the density of states at the Fermi level at 4.675 states/eV per cell. The space group is I4/mmm, No. 139. As for the energy above the most stable polymorph in this dataset: 0.0 meV/atom.

Cell: 3.7509 3.7509 6.1979 Å, 72.39 72.39 90.00°
Closest atoms and distances in Å follow each position.
Fractional positions:
Y (0.0000, 0.0000, 0.0000)  8 Be 2.88
Be (0.3995, 0.3995, 0.2010)  1 Be 2.25, 4 Mo 2.51
Be (0.6005, 0.6005, 0.7990)  1 Be 2.25, 4 Mo 2.51
Mo (0.7500, 0.2500, 0.5000)  4 Be 2.51, 4 Mo 2.65
Mo (0.2500, 0.7500, 0.5000)  4 Be 2.51, 4 Mo 2.65

---

19.
Below is a geometry-optimized Y2Be2Mo structure, with properties calculated at the GGA-PBE level.

Summary:
For the formation energy from the elements, the calculation gives 0.282 eV per atom. The calculation puts the density of states at the Fermi level at 13.219 states/eV per cell. The space group is P4/mbm, No. 127.

Cell: 6.6712 6.6712 4.2222 Å, 90.00 90.00 90.00°
Closest atoms and distances in Å follow each position.
Fractional positions:
Y (0.1831, 0.6831, 0.5000)  6 Be 2.80-2.96
Y (0.6831, 0.8169, 0.5000)  6 Be 2.80-2.96
Y (0.8169, 0.3169, 0.5000)  6 Be 2.80-2.96
Y (0.3169, 0.1831, 0.5000)  6 Be 2.80-2.96
Be (0.3780, 0.8780, 0.0000)  1 Be 2.30
Be (0.8780, 0.6220, 0.0000)  1 Be 2.30
Be (0.6220, 0.1220, 0.0000)  1 Be 2.30
Be (0.1220, 0.3780, 0.0000)  1 Be 2.30
Mo (0.0000, 0.0000, 0.0000)  4 Be 2.65
Mo (0.5000, 0.5000, 0.0000)  4 Be 2.65

---

20.
Below is a geometry-optimized Y2BeMo structure, with properties calculated at the GGA-PBE level.

Summary:
For the formation energy from the elements, the calculation gives 0.349 eV per atom. The calculation puts the density of states at the Fermi level at 4.808 states/eV per cell. The space group is Pmmm, No. 47.

Cell: 3.5197 3.5502 7.6116 Å, 62.21 90.00 90.00°
Closest atoms and distances in Å follow each position.
Fractional positions:
Y (0.0000, 0.9983, 0.0017)  4 Be 3.01, 4 Mo 3.02, 1 Y 3.34
Y (0.0000, 0.5017, 0.4983)  4 Be 3.01, 4 Mo 3.02, 1 Y 3.34
Be (0.5000, 0.2500, 0.2500)  8 Y 3.01, 2 Mo 3.37
Mo (0.5000, 0.7500, 0.7500)  8 Y 3.02, 2 Be 3.37